Record 1
Crystalline CsGdPb2 at its relaxed geometry, computed with PBE-GGA.

```
4
Lattice="4.1944 0.0000 0.0000 0.0000 4.1944 0.0000 0.0000 0.0000 8.6316" Properties=species:S:1:pos:R:3 pbc="T T T"
Cs 0.0000 0.0000 0.0000
Gd 0.0000 0.0000 4.3158
Pb 2.0972 2.0972 2.7572
Pb 2.0972 2.0972 5.8744
```

Output
spin magnetization	7.19	μB/cell
mass density	7.70	g cm⁻³
DOS(E_F)	0.63	states/eV/atom
total energy	-5.91	eV/atom
SG	No. 123

=====

Record 2
Crystalline B2C at its relaxed geometry, computed with PBE-GGA.

```
12
Lattice="2.3428 0.0000 0.0000 0.0000 2.5054 0.0000 0.0000 0.0000 13.9925" Properties=species:S:1:pos:R:3 pbc="T T T"
B 0.0000 0.0000 0.0000
B 0.0000 0.0000 4.3141
B 0.0000 0.0000 8.6996
B 0.0000 1.2527 9.9776
B 1.1714 0.0000 7.3300
B 1.1714 0.0000 12.6144
B 1.1714 1.2527 2.1570
B 1.1714 1.2527 11.3343
C 0.0000 1.2527 1.0008
C 0.0000 1.2527 5.3978
C 1.1714 0.0000 3.1680
C 1.1714 1.2527 6.2623
```

Output
spin magnetization	0.00	μB/cell
mass density	2.72	g cm⁻³
ΔE to the lowest computed polymorph	0.228	eV/atom
DOS(E_F)	0.18	states/eV/atom
total energy	-7.11	eV/atom
SG	No. 25

=====

Record 3
Crystalline RbP3W at its relaxed geometry, computed with PBE-GGA.

```
5
Lattice="4.8282 0.0000 0.0000 0.0000 4.8282 0.0000 0.0000 0.0000 4.8282" Properties=species:S:1:pos:R:3 pbc="T T T"
Rb 0.0000 0.0000 0.0000
P 0.0000 2.4141 2.4141
P 2.4141 0.0000 2.4141
P 2.4141 2.4141 0.0000
W 2.4141 2.4141 2.4141
```

Output
spin magnetization	0.00	μB/cell
mass density	5.34	g cm⁻³
ΔE to the lowest computed polymorph	0.000	eV/atom
DOS(E_F)	0.80	states/eV/atom
total energy	-5.91	eV/atom
SG	No. 221

=====

Record 4
Crystalline TaTc2HgP at its relaxed geometry, computed with PBE-GGA.

```
5
Lattice="4.9722 0.0000 0.0000 0.0000 4.9722 0.0000 0.0000 0.0000 5.0667" Properties=species:S:1:pos:R:3 pbc="T T T"
Ta 0.0000 0.0000 0.0000
Tc 0.0000 2.4861 2.5334
Tc 2.4861 0.0000 2.5334
Hg 0.0000 0.0000 2.5334
P 2.4861 2.4861 0.0000
```

Output
spin magnetization	3.71	μB/cell
mass density	8.07	g cm⁻³
DOS(E_F)	1.12	states/eV/atom
total energy	-5.07	eV/atom
SG	No. 123

=====

Record 5
Crystalline NaPr2Tl3 at its relaxed geometry, computed with PBE-GGA.

```
12
Lattice="5.4845 0.0000 0.0000 -2.7423 4.7497 0.0000 0.0000 0.0000 13.5484" Properties=species:S:1:pos:R:3 pbc="T T T"
Na 0.0000 3.1665 2.2274
Na 2.7423 1.5832 11.3210
Pr 0.0000 0.0000 0.0000
Pr 0.0000 0.0000 6.7742
Pr 0.0000 3.1665 9.1646
Pr 2.7423 1.5832 4.3838
Tl 0.0000 0.0000 3.3630
Tl 0.0000 0.0000 10.1854
Tl 0.0000 3.1665 5.6109
Tl 0.0000 3.1665 12.4577
Tl 2.7423 1.5832 1.0907
Tl 2.7423 1.5832 7.9375
```

Output
spin magnetization	0.00	μB/cell
mass density	8.64	g cm⁻³
ΔE to the lowest computed polymorph	0.000	eV/atom
DOS(E_F)	0.46	states/eV/atom
total energy	-3.30	eV/atom
SG	No. 164

=====

Record 6
Crystalline AcZnSn2 at its relaxed geometry, computed with PBE-GGA.

```
4
Lattice="2.9272 1.6900 4.0118 -2.9272 1.6900 4.0118 0.0000 -3.3800 4.0118" Properties=species:S:1:pos:R:3 pbc="T T T"
Ac 0.0000 0.0000 0.0000
Zn 0.0000 0.0000 6.0177
Sn 0.0000 0.0000 3.3286
Sn 0.0000 0.0000 8.7068
```

Output
spin magnetization	0.00	μB/cell
mass density	7.39	g cm⁻³
DOS(E_F)	0.63	states/eV/atom
total energy	-3.54	eV/atom
SG	No. 166

=====

Record 7
Crystalline HoTm2Tl2Ag2 at its relaxed geometry, computed with PBE-GGA.

```
7
Lattice="2.4406 1.4091 8.5088 -2.4406 1.4091 8.5088 0.0000 -2.8182 8.5088" Properties=species:S:1:pos:R:3 pbc="T T T"
Ho 0.0000 0.0000 0.0000
Tm 0.0000 0.0000 3.3911
Tm 0.0000 0.0000 22.1353
Tl 0.0000 0.0000 6.7801
Tl 0.0000 0.0000 18.7463
Ag 0.0000 0.0000 11.1473
Ag 0.0000 0.0000 14.3791
```

Output
spin magnetization	0.00	μB/cell
mass density	10.66	g cm⁻³
DOS(E_F)	1.00	states/eV/atom
total energy	-3.55	eV/atom
SG	No. 166

=====

Record 8
Crystalline ReC2F at its relaxed geometry, computed with PBE-GGA.

```
8
Lattice="-2.4406 2.4406 4.7317 2.4406 -2.4406 4.7317 2.4406 2.4406 -4.7317" Properties=species:S:1:pos:R:3 pbc="T T T"
Re 0.0000 0.0000 0.0000
Re 0.0000 2.4406 2.3659
C 3.6609 0.8597 -1.1829
C 0.8597 1.2203 1.1829
C -1.2203 1.5808 3.5488
C 1.5808 1.2203 5.9147
F 2.4406 0.0000 2.3659
F 0.0000 0.0000 4.7317
```

Output
spin magnetization	0.00	μB/cell
mass density	6.75	g cm⁻³
ΔE to the lowest computed polymorph	0.000	eV/atom
DOS(E_F)	0.14	states/eV/atom
total energy	-7.18	eV/atom
SG	No. 122

=====

Record 9
Crystalline La2PrNd2Dy2 at its relaxed geometry, computed with PBE-GGA.

```
7
Lattice="5.7987 -2.5937 0.0000 5.7987 2.5937 0.0000 -1.1557 0.0000 8.1271" Properties=species:S:1:pos:R:3 pbc="T T T"
La 1.1740 0.0000 3.4819
La 9.2677 0.0000 4.6452
Pr 0.0000 0.0000 0.0000
Nd 4.6448 0.0000 2.2877
Nd 5.7969 0.0000 5.8394
Dy 2.2995 0.0000 6.9947
Dy 8.1422 0.0000 1.1324
```

Output
spin magnetization	0.00	μB/cell
mass density	7.01	g cm⁻³
DOS(E_F)	1.73	states/eV/atom
total energy	-4.75	eV/atom
SG	No. 12

=====

Record 10
Crystalline Ti3Ga6Pd2 at its relaxed geometry, computed with PBE-GGA.

```
11
Lattice="-1.8838 1.8838 13.4139 1.8838 -1.8838 13.4139 1.8838 1.8838 -13.4139" Properties=species:S:1:pos:R:3 pbc="T T T"
Ti 0.0000 0.0000 0.0000
Ti 0.0000 0.0000 4.3873
Ti 0.0000 0.0000 22.4404
Ga 1.8838 0.0000 1.9509
Ga 0.0000 0.0000 7.1229
Ga 1.8838 0.0000 11.4630
Ga 0.0000 1.8838 1.9509
Ga 0.0000 0.0000 19.7048
Ga 0.0000 1.8838 11.4630
Pd 0.0000 0.0000 9.5967
Pd 0.0000 0.0000 17.2310
```

Output
spin magnetization	0.00	μB/cell
mass density	6.76	g cm⁻³
DOS(E_F)	0.71	states/eV/atom
total energy	-5.05	eV/atom
SG	No. 139

=====

Record 11
Crystalline LaPmDy2Tm at its relaxed geometry, computed with PBE-GGA.

```
10
Lattice="4.2264 -5.7711 0.0000 4.2264 5.7711 0.0000 0.0000 0.0000 7.2230" Properties=species:S:1:pos:R:3 pbc="T T T"
La 4.2264 3.0662 5.4172
La 4.2264 -3.0662 1.8057
Pm 4.2264 0.0145 5.4172
Pm 4.2264 -0.0145 1.8057
Dy 1.5871 0.0000 0.0000
Dy 1.5871 0.0000 3.6115
Dy 6.8656 0.0000 0.0000
Dy 6.8656 0.0000 3.6115
Tm 4.2264 3.2560 1.8057
Tm 4.2264 -3.2560 5.4172
```

Output
spin magnetization	0.00	μB/cell
mass density	7.33	g cm⁻³
DOS(E_F)	1.71	states/eV/atom
total energy	-4.31	eV/atom
SG	No. 63

=====

Record 12
Crystalline Rb2NaHg7 at its relaxed geometry, computed with PBE-GGA.

```
10
Lattice="5.0323 0.0000 0.0000 0.0000 5.0323 0.0000 0.0000 0.0000 13.3065" Properties=species:S:1:pos:R:3 pbc="T T T"
Rb 0.0000 2.5162 3.1324
Rb 2.5162 0.0000 10.1741
Na 0.0000 0.0000 6.6532
Hg 0.0000 0.0000 0.0000
Hg 0.0000 2.5162 8.5075
Hg 0.0000 2.5162 11.5223
Hg 2.5162 0.0000 1.7842
Hg 2.5162 0.0000 4.7990
Hg 2.5162 2.5162 0.0000
Hg 2.5162 2.5162 6.6532
```

Output
spin magnetization	0.00	μB/cell
mass density	7.87	g cm⁻³
DOS(E_F)	0.30	states/eV/atom
total energy	-0.75	eV/atom
SG	No. 115

=====

Record 13
Crystalline TmHfCuAg at its relaxed geometry, computed with PBE-GGA.

```
4
Lattice="0.0000 3.4213 3.4213 3.4213 0.0000 3.4213 3.4213 3.4213 0.0000" Properties=species:S:1:pos:R:3 pbc="T T T"
Tm 0.0000 0.0000 0.0000
Hf 3.4213 3.4213 3.4213
Cu 1.7107 1.7107 1.7107
Ag 5.1320 5.1320 5.1320
```

Output
spin magnetization	0.00	μB/cell
mass density	10.76	g cm⁻³
DOS(E_F)	1.29	states/eV/atom
total energy	-5.41	eV/atom
SG	No. 216

=====

Record 14
Crystalline LiGaBi at its relaxed geometry, computed with PBE-GGA.

```
3
Lattice="-1.9681 1.9681 4.5323 1.9681 -1.9681 4.5323 1.9681 1.9681 -4.5323" Properties=species:S:1:pos:R:3 pbc="T T T"
Li 0.0000 0.0000 0.0000
Ga 0.0000 0.0000 6.1426
Bi 0.0000 0.0000 3.0125
```

Output
spin magnetization	0.00	μB/cell
mass density	6.75	g cm⁻³
ΔE to the lowest computed polymorph	0.004	eV/atom
DOS(E_F)	0.43	states/eV/atom
total energy	-3.09	eV/atom
SG	No. 107

=====

Record 15
Crystalline HfZnAgIr at its relaxed geometry, computed with PBE-GGA.

```
4
Lattice="0.0000 3.2238 3.2238 3.2238 0.0000 3.2238 3.2238 3.2238 0.0000" Properties=species:S:1:pos:R:3 pbc="T T T"
Hf 0.0000 0.0000 0.0000
Zn 3.2238 3.2238 3.2238
Ag 1.6119 1.6119 1.6119
Ir 4.8356 4.8356 4.8356
```

Output
spin magnetization	0.00	μB/cell
mass density	13.48	g cm⁻³
DOS(E_F)	0.56	states/eV/atom
total energy	-6.07	eV/atom
SG	No. 216

=====

Record 16
Crystalline PaInSe3 at its relaxed geometry, computed with PBE-GGA.

```
10
Lattice="2.0829 -7.0446 0.0000 2.0829 7.0446 0.0000 0.0000 0.0000 10.7663" Properties=species:S:1:pos:R:3 pbc="T T T"
Pa 0.0000 0.0000 0.0000
Pa 0.0000 0.0000 5.3832
In 2.0829 2.9975 8.0748
In 2.0829 -2.9975 2.6916
Se 2.0829 6.2798 2.6916
Se 2.0829 1.7837 0.4533
Se 2.0829 1.7837 4.9299
Se 2.0829 -1.7837 5.8365
Se 2.0829 -1.7837 10.3130
Se 2.0829 -6.2798 8.0748
```

Output
spin magnetization	0.00	μB/cell
mass density	6.13	g cm⁻³
ΔE to the lowest computed polymorph	0.000	eV/atom
total energy	-5.56	eV/atom
SG	No. 63

=====

Record 17
Crystalline CeNd2Co at its relaxed geometry, computed with PBE-GGA.

```
4
Lattice="1.8221 1.0520 10.4306 -1.8221 1.0520 10.4306 0.0000 -2.1039 10.4306" Properties=species:S:1:pos:R:3 pbc="T T T"
Ce 0.0000 0.0000 0.0000
Nd 0.0000 0.0000 3.4955
Nd 0.0000 0.0000 27.7965
Co 0.0000 0.0000 15.6460
```

Output
spin magnetization	1.79	μB/cell
mass density	6.75	g cm⁻³
ΔE to the lowest computed polymorph	0.385	eV/atom
DOS(E_F)	2.12	states/eV/atom
total energy	-5.38	eV/atom
SG	No. 166

=====

Record 18
Crystalline MnNb2Ir2 at its relaxed geometry, computed with PBE-GGA.

```
10
Lattice="7.5276 0.0000 0.0000 0.0000 7.5276 0.0000 0.0000 0.0000 3.0181" Properties=species:S:1:pos:R:3 pbc="T T T"
Mn 0.0000 0.0000 0.0000
Mn 3.7638 3.7638 0.0000
Nb 1.2671 2.4967 1.5091
Nb 2.4967 6.2605 1.5091
Nb 5.0308 1.2671 1.5091
Nb 6.2605 5.0308 1.5091
Ir 0.9914 4.7551 0.0000
Ir 2.7724 0.9914 0.0000
Ir 4.7551 6.5362 0.0000
Ir 6.5362 2.7724 0.0000
```

Output
spin magnetization	7.38	μB/cell
mass density	12.14	g cm⁻³
DOS(E_F)	0.88	states/eV/atom
total energy	-9.62	eV/atom
SG	No. 127

=====

Record 19
Crystalline PmCrTe2 at its relaxed geometry, computed with PBE-GGA.

```
4
Lattice="1.9830 1.1449 9.2440 -1.9830 1.1449 9.2440 0.0000 -2.2898 9.2440" Properties=species:S:1:pos:R:3 pbc="T T T"
Pm 0.0000 0.0000 0.0000
Cr 0.0000 0.0000 13.8661
Te 0.0000 0.0000 3.1113
Te 0.0000 0.0000 24.6208
```

Output
spin magnetization	3.26	μB/cell
mass density	5.96	g cm⁻³
DOS(E_F)	0.66	states/eV/atom
total energy	-5.40	eV/atom
SG	No. 166

=====

Record 20
Crystalline Cr2Co2Ni at its relaxed geometry, computed with PBE-GGA.

```
10
Lattice="6.7068 0.0000 0.0000 0.0000 6.7068 0.0000 0.0000 0.0000 2.5184" Properties=species:S:1:pos:R:3 pbc="T T T"
Cr 1.1419 2.2115 0.0000
Cr 2.2115 5.5649 0.0000
Cr 4.4954 1.1419 0.0000
Cr 5.5649 4.4954 0.0000
Co 0.8526 4.2060 1.2592
Co 2.5008 0.8526 1.2592
Co 4.2060 5.8542 1.2592
Co 5.8542 2.5008 1.2592
Ni 0.0000 0.0000 1.2592
Ni 3.3534 3.3534 1.2592
```

Output
spin magnetization	0.15	μB/cell
mass density	8.22	g cm⁻³
ΔE to the lowest computed polymorph	0.000	eV/atom
DOS(E_F)	1.36	states/eV/atom
total energy	-7.68	eV/atom
SG	No. 127

=====

Record 21
Crystalline Ag5BrF4 at its relaxed geometry, computed with PBE-GGA.

```
10
Lattice="-4.0412 4.0412 2.6665 4.0412 -4.0412 2.6665 4.0412 4.0412 -2.6665" Properties=species:S:1:pos:R:3 pbc="T T T"
Ag 0.0000 0.0000 0.0000
Ag 3.1208 1.4239 0.0142
Ag 2.6173 -0.9204 2.6807
Ag 1.4239 4.9617 0.0142
Ag 0.9204 2.6173 2.6807
Br 0.0000 0.0000 2.6682
F 5.6230 0.8373 0.0173
F 0.8373 2.4595 0.0173
F 3.2039 1.5817 2.6838
F -1.5817 3.2039 2.6838
```

Output
spin magnetization	0.00	μB/cell
mass density	6.63	g cm⁻³
DOS(E_F)	0.33	states/eV/atom
total energy	-3.18	eV/atom
SG	No. 79

=====

Record 22
Crystalline Tl3In4Sn4 at its relaxed geometry, computed with PBE-GGA.

```
11
Lattice="-2.7087 3.2980 8.9889 2.7087 -3.2980 8.9889 2.7087 3.2980 -8.9889" Properties=species:S:1:pos:R:3 pbc="T T T"
Tl 0.0000 0.0000 0.0000
Tl 2.7087 0.0000 7.2236
Tl 0.0000 3.2980 1.7652
In 0.0000 0.0000 3.1878
In 2.7087 1.7338 0.0000
In 0.0000 1.5642 8.9889
In 0.0000 0.0000 14.7899
Sn 2.7087 1.6260 -3.1610
Sn 2.7087 1.6260 3.1610
Sn 0.0000 1.6720 5.8279
Sn 0.0000 1.6720 12.1498
```

Output
spin magnetization	0.00	μB/cell
mass density	8.00	g cm⁻³
ΔE to the lowest computed polymorph	0.000	eV/atom
DOS(E_F)	0.45	states/eV/atom
total energy	-3.04	eV/atom
SG	No. 71

=====

Record 23
Crystalline PmDy2Si2Ni2 at its relaxed geometry, computed with PBE-GGA.

```
7
Lattice="2.0851 1.2038 9.5806 -2.0851 1.2038 9.5806 0.0000 -2.4076 9.5806" Properties=species:S:1:pos:R:3 pbc="T T T"
Pm 0.0000 0.0000 0.0000
Dy 0.0000 0.0000 3.5440
Dy 0.0000 0.0000 25.1977
Si 0.0000 0.0000 7.5567
Si 0.0000 0.0000 21.1850
Ni 0.0000 0.0000 11.5378
Ni 0.0000 0.0000 17.2039
```

Output
spin magnetization	0.00	μB/cell
mass density	7.41	g cm⁻³
DOS(E_F)	0.47	states/eV/atom
total energy	-5.83	eV/atom
SG	No. 166

=====

Record 24
Crystalline Rb2USe5 at its relaxed geometry, computed with PBE-GGA.

```
8
Lattice="-3.4787 3.4787 5.9536 3.4787 -3.4787 5.9536 3.4787 3.4787 -5.9536" Properties=species:S:1:pos:R:3 pbc="T T T"
Rb 3.4787 0.0000 0.0000
Rb 0.0000 3.4787 0.0000
U 0.0000 0.0000 3.2578
Se 0.0000 0.0000 5.8465
Se 1.8384 1.8384 2.9237
Se 1.6403 -1.6403 8.8773
Se -1.6403 1.6403 8.8773
Se 1.6403 1.6403 8.8773
```

Output
spin magnetization	0.00	μB/cell
mass density	4.63	g cm⁻³
DOS(E_F)	0.63	states/eV/atom
total energy	-4.59	eV/atom
SG	No. 107

=====

Record 25
Crystalline KW at its relaxed geometry, computed with PBE-GGA.

```
12
Lattice="13.8502 0.0000 0.0000 -6.9251 11.9946 0.0000 0.0000 0.0000 3.1174" Properties=species:S:1:pos:R:3 pbc="T T T"
K -0.6390 4.3289 0.7793
K -2.8566 10.3836 0.7793
K 3.4294 2.7179 2.3380
K 3.4957 9.2768 0.7793
K 9.7817 1.6110 2.3380
K 7.5641 7.6657 2.3380
W -3.0425 6.7780 0.7793
W 2.5764 5.9707 0.7793
W 6.4590 0.7541 2.3380
W 0.4661 11.2405 0.7793
W 4.3487 6.0239 2.3380
W 9.9676 5.2166 2.3380
```

Output
spin magnetization	0.00	μB/cell
mass density	4.29	g cm⁻³
ΔE to the lowest computed polymorph	0.647	eV/atom
DOS(E_F)	0.83	states/eV/atom
total energy	-5.46	eV/atom
SG	No. 176